Density functional theory data (PBE) for a geometry-optimized GdCuSnTe3 structure.

```
GdCuSnTe3
1.0
9.963 -2.146 0.000
9.963 2.146 0.000
-1.884 0.000 8.397
Cu Gd Sn Te
2 2 2 6
direct
0.546 0.546 0.207
0.454 0.454 0.793
0.159 0.159 0.083
0.841 0.841 0.917
0.880 0.880 0.434
0.120 0.120 0.566
0.000 0.000 0.000
0.322 0.322 0.161
0.677 0.677 0.342
0.500 0.500 0.500
0.323 0.323 0.658
0.678 0.678 0.839
```

Its calculated volume is 29.92 A^3/atom. The total magnetization comes out at 0.02 Bohr magnetons per cell. The value obtained for the energy above the lowest structure with this stoichiometry is 0.060 eV/atom. The calculation puts the total energy at -4.2436 eV/atom.